1.
The following is a GGA-PBE calculation of a relaxed TaTl2Cd crystal, from Alexandria.

Cell and atoms, written as CIF:
```
data_TaTl2Cd
_chemical_formula_sum 'Ta1 Tl2 Cd1'
_space_group_name_H-M_alt 'P 1'
_space_group_IT_number 1
_space_group_name_Hall 'P 1'
_cell_length_a 3.061
_cell_length_b 3.061
_cell_length_c 10.021
_cell_angle_alpha 90.00
_cell_angle_beta 90.00
_cell_angle_gamma 90.00
loop_
_atom_site_label
_atom_site_fract_x
_atom_site_fract_y
_atom_site_fract_z
Tl1 0.000 0.000 0.520
Tl2 0.000 0.000 0.980
Cd1 0.500 0.500 0.250
Ta1 0.500 0.500 0.750
```

Properties
- Energy of formation: 0.523 eV/atom
- DOS at the Fermi energy: 0.80 states/eV/atom
- Electronic total energy: -3.852 eV/atom
- E above lowest polymorph: 131.6 meV per atom
- Symmetry: No. 123
- Calculated density: 12.42 Mg/m³

***

2.
The following is a GGA-PBE calculation of a relaxed InOsBr crystal, from Alexandria.

Cell and atoms, written as CIF:
```
data_InOsBr
_chemical_formula_sum 'In1 Os1 Br1'
_space_group_name_H-M_alt 'P 1'
_space_group_IT_number 1
_space_group_name_Hall 'P 1'
_cell_length_a 6.437
_cell_length_b 6.437
_cell_length_c 6.437
_cell_angle_alpha 150.93
_cell_angle_beta 150.93
_cell_angle_gamma 41.58
loop_
_atom_site_label
_atom_site_fract_x
_atom_site_fract_y
_atom_site_fract_z
In1 0.302 0.302 0.000
Br1 0.022 0.022 0.000
Os1 0.676 0.676 0.000
```

Properties
- DOS at the Fermi energy: 1.23 states/eV/atom
- ΔE_f (raw): 878 meV per atom
- Electronic total energy: -4.335 eV/atom
- E above lowest polymorph: 50.2 meV per atom
- Symmetry: No. 107
- Calculated density: 10.18 Mg/m³

***

3.
The following is a GGA-PBE calculation of a relaxed TiAlCu4 crystal, from Alexandria.

Cell and atoms, written as CIF:
```
data_TiAlCu4
_chemical_formula_sum 'Ti1 Al1 Cu4'
_space_group_name_H-M_alt 'P 1'
_space_group_IT_number 1
_space_group_name_Hall 'P 1'
_cell_length_a 4.671
_cell_length_b 4.353
_cell_length_c 4.670
_cell_angle_alpha 90.03
_cell_angle_beta 55.58
_cell_angle_gamma 89.97
loop_
_atom_site_label
_atom_site_fract_x
_atom_site_fract_y
_atom_site_fract_z
Al1 0.999 0.997 0.500
Cu1 0.671 0.997 0.174
Cu2 0.173 0.497 0.664
Cu3 0.325 0.997 0.828
Cu4 0.835 0.497 0.326
Ti1 0.503 0.497 0.996
```

Properties
- Energy of formation: -0.202 eV/atom
- DOS at the Fermi energy: 0.28 states/eV/atom
- Electronic total energy: -4.873 eV/atom
- Symmetry: No. 38
- Calculated density: 6.97 Mg/m³

***

4.
The following is a GGA-PBE calculation of a relaxed Sr2Ta2Sn crystal, from Alexandria.

Cell and atoms, written as CIF:
```
data_Sr2Ta2Sn
_chemical_formula_sum 'Sr4 Ta4 Sn2'
_space_group_name_H-M_alt 'P 1'
_space_group_IT_number 1
_space_group_name_Hall 'P 1'
_cell_length_a 9.417
_cell_length_b 9.417
_cell_length_c 3.137
_cell_angle_alpha 90.00
_cell_angle_beta 90.00
_cell_angle_gamma 90.00
loop_
_atom_site_label
_atom_site_fract_x
_atom_site_fract_y
_atom_site_fract_z
Ta1 0.186 0.686 0.500
Ta2 0.686 0.814 0.500
Ta3 0.814 0.314 0.500
Ta4 0.314 0.186 0.500
Sr1 0.118 0.382 0.000
Sr2 0.382 0.882 0.000
Sr3 0.618 0.118 0.000
Sr4 0.882 0.618 0.000
Sn1 0.000 0.000 0.000
Sn2 0.500 0.500 0.000
```

Properties
- Energy of formation: 1.412 eV/atom
- DOS at the Fermi energy: 0.80 states/eV/atom
- Electronic total energy: -4.802 eV/atom
- E above lowest polymorph: 1034.6 meV per atom
- Symmetry: No. 127
- Calculated density: 7.83 Mg/m³

***

5.
The following is a GGA-PBE calculation of a relaxed ZrPaCd crystal, from Alexandria.

Cell and atoms, written as CIF:
```
data_ZrPaCd
_chemical_formula_sum 'Zr1 Pa1 Cd1'
_space_group_name_H-M_alt 'P 1'
_space_group_IT_number 1
_space_group_name_Hall 'P 1'
_cell_length_a 3.126
_cell_length_b 3.126
_cell_length_c 8.372
_cell_angle_alpha 90.00
_cell_angle_beta 90.00
_cell_angle_gamma 120.00
loop_
_atom_site_label
_atom_site_fract_x
_atom_site_fract_y
_atom_site_fract_z
Pa1 0.667 0.333 0.337
Zr1 0.333 0.667 0.672
Cd1 0.000 0.000 0.991
```

Properties
- Energy of formation: 0.041 eV/atom
- DOS at the Fermi energy: 1.41 states/eV/atom
- Electronic total energy: -6.279 eV/atom
- E above lowest polymorph: 55.9 meV per atom
- Symmetry: No. 156
- Calculated density: 10.19 Mg/m³

***

6.
The following is a GGA-PBE calculation of a relaxed YHoTe2 crystal, from Alexandria.

Cell and atoms, written as CIF:
```
data_YHoTe2
_chemical_formula_sum 'Y1 Ho1 Te2'
_space_group_name_H-M_alt 'P 1'
_space_group_IT_number 1
_space_group_name_Hall 'P 1'
_cell_length_a 4.203
_cell_length_b 4.203
_cell_length_c 8.022
_cell_angle_alpha 74.81
_cell_angle_beta 74.81
_cell_angle_gamma 60.00
loop_
_atom_site_label
_atom_site_fract_x
_atom_site_fract_y
_atom_site_fract_z
Y1 0.497 0.497 0.510
Te1 0.082 0.082 0.755
Te2 0.252 0.252 0.245
Ho1 0.670 0.670 0.990
```

Properties
- DOS at the Fermi energy: 0.36 states/eV/atom
- ΔE_f (raw): -1306 meV per atom
- Electronic total energy: -5.637 eV/atom
- E above lowest polymorph: 0.0 meV per atom
- Symmetry: No. 160
- Calculated density: 7.23 Mg/m³

***

7.
The following is a GGA-PBE calculation of a relaxed PmTm5Sc crystal, from Alexandria.

Cell and atoms, written as CIF:
```
data_PmTm5Sc
_chemical_formula_sum 'Pm1 Tm5 Sc1'
_space_group_name_H-M_alt 'P 1'
_space_group_IT_number 1
_space_group_name_Hall 'P 1'
_cell_length_a 5.954
_cell_length_b 8.020
_cell_length_c 7.562
_cell_angle_alpha 122.02
_cell_angle_beta 113.18
_cell_angle_gamma 90.00
loop_
_atom_site_label
_atom_site_fract_x
_atom_site_fract_y
_atom_site_fract_z
Tm1 0.435 0.824 0.000
Tm2 0.435 0.176 0.000
Tm3 0.681 0.751 0.502
Tm4 0.179 0.249 0.498
Tm5 0.169 0.500 0.000
Pm1 0.694 0.500 0.000
Sc1 0.937 0.000 0.000
```

Properties
- Energy of formation: 1.009 eV/atom
- DOS at the Fermi energy: 1.40 states/eV/atom
- Electronic total energy: -3.768 eV/atom
- E above lowest polymorph: 945.2 meV per atom
- Symmetry: No. 44
- Calculated density: 6.34 Mg/m³

***

8.
The following is a GGA-PBE calculation of a relaxed Pu2PtO11 crystal, from Alexandria.

Cell and atoms, written as CIF:
```
data_Pu2PtO11
_chemical_formula_sum 'Pu4 Pt2 O22'
_space_group_name_H-M_alt 'P 1'
_space_group_IT_number 1
_space_group_name_Hall 'P 1'
_cell_length_a 8.349
_cell_length_b 8.349
_cell_length_c 8.349
_cell_angle_alpha 121.59
_cell_angle_beta 107.47
_cell_angle_gamma 100.13
loop_
_atom_site_label
_atom_site_fract_x
_atom_site_fract_y
_atom_site_fract_z
O1 0.361 0.631 0.992
O2 0.300 0.956 0.971
O3 0.247 0.863 0.351
O4 0.639 0.369 0.008
O5 0.253 0.604 0.617
O6 0.487 0.104 0.351
O7 0.485 0.456 0.656
O8 0.747 0.396 0.383
O9 0.987 0.637 0.383
O10 0.515 0.544 0.344
O11 0.000 0.000 0.000
O12 0.015 0.671 0.971
O13 0.200 0.171 0.656
O14 0.861 0.869 0.730
O15 0.500 0.500 0.000
O16 0.985 0.329 0.029
O17 0.700 0.044 0.029
O18 0.800 0.829 0.344
O19 0.139 0.131 0.270
O20 0.013 0.363 0.617
O21 0.753 0.137 0.649
O22 0.513 0.896 0.649
Pu1 0.241 0.880 0.121
Pu2 0.741 0.620 0.360
Pu3 0.259 0.380 0.640
Pu4 0.759 0.120 0.879
Pt1 0.750 0.250 0.500
Pt2 0.250 0.750 0.500
```

Properties
- DOS at the Fermi energy: 0.22 states/eV/atom
- ΔE_f (raw): -1093 meV per atom
- Electronic total energy: -7.467 eV/atom
- Symmetry: No. 72
- Calculated density: 6.62 Mg/m³

***

9.
The following is a GGA-PBE calculation of a relaxed CrCu2Ir crystal, from Alexandria.

Cell and atoms, written as CIF:
```
data_CrCu2Ir
_chemical_formula_sum 'Cr1 Cu2 Ir1'
_space_group_name_H-M_alt 'P 1'
_space_group_IT_number 1
_space_group_name_Hall 'P 1'
_cell_length_a 4.145
_cell_length_b 4.145
_cell_length_c 4.145
_cell_angle_alpha 60.00
_cell_angle_beta 60.00
_cell_angle_gamma 60.00
loop_
_atom_site_label
_atom_site_fract_x
_atom_site_fract_y
_atom_site_fract_z
Cu1 0.750 0.750 0.750
Cu2 0.250 0.250 0.250
Cr1 0.000 0.000 0.000
Ir1 0.500 0.500 0.500
```

Properties
- Energy of formation: 0.328 eV/atom
- DOS at the Fermi energy: 1.30 states/eV/atom
- Electronic total energy: -6.341 eV/atom
- Symmetry: No. 225
- Calculated density: 12.24 Mg/m³

***

10.
The following is a GGA-PBE calculation of a relaxed YBeIn crystal, from Alexandria.

Cell and atoms, written as CIF:
```
data_YBeIn
_chemical_formula_sum 'Y1 Be1 In1'
_space_group_name_H-M_alt 'P 1'
_space_group_IT_number 1
_space_group_name_Hall 'P 1'
_cell_length_a 4.811
_cell_length_b 4.811
_cell_length_c 4.811
_cell_angle_alpha 60.00
_cell_angle_beta 60.00
_cell_angle_gamma 60.00
loop_
_atom_site_label
_atom_site_fract_x
_atom_site_fract_y
_atom_site_fract_z
In1 0.250 0.250 0.250
Y1 0.500 0.500 0.500
Be1 0.750 0.750 0.750
```

Properties
- Energy of formation: 0.559 eV/atom
- DOS at the Fermi energy: 0.60 states/eV/atom
- Electronic total energy: -3.751 eV/atom
- E above lowest polymorph: 826.8 meV per atom
- Symmetry: No. 216
- Calculated density: 4.49 Mg/m³